Crystalline LiCd8Au2 at its relaxed geometry, computed with PBE.

## Properties
Its energy of formation is -0.10 eV/atom. As for the relative energy among the computed polymorphs: 0.0000 eV per atom. The uncorrected energy is -33.82 eV/cell.

Lattice parameters (Å, degrees): 14.483 6.022 5.537 90.00 96.62 90.00
Space group C2/m (No. 12)
Unique sites:
Li 0.000 0.000 0.000 (multiplicity 2)
Cd 0.082 0.500 0.890 (multiplicity 4)
Cd 0.091 0.247 0.398 (multiplicity 8)
Cd 0.218 0.000 0.825 (multiplicity 4)
Au 0.245 0.500 0.672 (multiplicity 4)